Entry from the Alexandria database: a geometry-optimized MnCoPIrF structure (PBE with a Hubbard U).

```
MnCoPIrF
1.0
-1.213 3.295 -2.238
-0.392 -1.884 -2.561
-5.889 -2.771 2.940
Co Mn P F Ir
1 1 1 1 1
direct
0.695 0.000 0.659
0.397 0.000 0.080
0.822 0.500 0.917
0.548 0.000 0.365
0.251 0.500 0.772
```

Properties
The calculation puts the total energy at -30.9 eV per formula unit. As for the space group: Pm.